Entry from Alexandria: crystalline Re2HgRu at its relaxed geometry (PBE-GGA).

a = 2.8248 Å, b = 2.8248 Å, c = 27.9640 Å
α = 90.00°, β = 90.00°, γ = 120.00°
Space group R3m (No. 160, hexagonal axes)
Inequivalent atoms, fractional coordinates:
Re  0.0000  0.0000  0.0000 [3 per cell]
Re  0.0000  0.0000  0.2565 [3 per cell]
Hg  0.0000  0.0000  0.7585 [3 per cell]
Ru  0.0000  0.0000  0.5145 [3 per cell]

Output
E_form = 0.347 eV per atom
calculated volume = 193.25 Å³/cell
energy = -8.27 eV/atom